Record 1
Density functional theory data (PBE) for a relaxed structure of Hf4CoSN2.

Values from the calculation:
**Calculated total energy**: -9.669 eV/atom

Cell: 3.2236 3.2236 12.6093 Å, 90.00 90.00 120.00°
With the nearest neighbours (Å) after each atom.
Space group P-6m2 (No. 187)
Asymmetric unit:
Hf (0.0000, 0.0000, 0.1440) x2  3 N 2.27
Hf (0.6667, 0.3333, 0.3498) x2  3 N 2.27
Co (0.0000, 0.0000, 0.5000) x1  6 Hf 2.66
S (0.6667, 0.3333, 0.0000) x1  6 Hf 2.60
N (0.3333, 0.6667, 0.2469) x2  6 Hf 2.27



Record 2
Density functional theory data (PBE) for a relaxed structure of Cs2InAuCl6.

Values from the calculation:
**Calculated total energy**: -3.136 eV/atom

Cell: 7.5017 7.5017 18.2558 Å, 90.00 90.00 120.00°
With the nearest neighbours (Å) after each atom.
Space group R-3 (No. 148, hexagonal axes)
Asymmetric unit:
Cs (0.0000, 0.0000, 0.2504) x6  12 Cl 3.62-3.88
In (0.0000, 0.0000, 0.0000) x3  6 Cl 2.58
Au (0.0000, 0.0000, 0.5000) x3  6 Cl 2.72
Cl (0.0098, 0.5220, 0.7482) x18  1 In 2.58, 1 Au 2.72



Record 3
Density functional theory data (PBE) for a relaxed structure of Er3Mg3Pt2Au.

Values from the calculation:
**Calculated total energy**: -4.624 eV/atom

Cell: 7.4366 7.4366 4.0087 Å, 90.00 90.00 120.00°
With the nearest neighbours (Å) after each atom.
Space group P-62m (No. 189)
Asymmetric unit:
Er (0.0000, 0.4145, 0.0000) x3  4 Pt 3.00, 1 Au 3.08, 6 Mg 3.18-3.36
Mg (0.0000, 0.7472, 0.5000) x3  2 Au 2.75, 2 Pt 2.83
Pt (0.3333, 0.6667, 0.5000) x2  3 Mg 2.83, 6 Er 3.00-3.01
Au (0.0000, 0.0000, 0.0000) x1  6 Mg 2.75



Record 4
Density functional theory data (PBE) for a relaxed structure of BaBiSbPd2.

Values from the calculation:
**Calculated total energy**: -4.831 eV/atom

Cell: 4.8731 4.8169 10.9841 Å, 90.00 90.99 90.00°
With the nearest neighbours (Å) after each atom.
Space group P2_1/m (No. 11)
Asymmetric unit:
Ba (0.2447, 0.2500, 0.2372) x2  8 Pd 3.38-3.75, 4 Sb 3.62-3.73, 3 Bi 3.75-3.77
Bi (0.2502, 0.7500, 0.4988) x2  4 Pd 2.86-2.89
Sb (0.2778, 0.2500, 0.8839) x2  5 Pd 2.68-2.79
Pd (0.2083, 0.7500, 0.9992) x2  4 Sb 2.71-2.79
Pd (0.2525, 0.2500, 0.6402) x2  1 Sb 2.68, 4 Bi 2.86-2.89



Record 5
Density functional theory data (PBE) for a relaxed structure of PrLuIr.

Values from the calculation:
**Calculated total energy**: -5.922 eV/atom
**Formation energy from the elements**: 0.129 eV/atom

Cell: 6.6885 6.6885 6.6885 Å, 90.00 90.00 90.00°
With the nearest neighbours (Å) after each atom.
Space group F-43m (No. 216)
Asymmetric unit:
Pr (0.0000, 0.0000, 0.0000) x4  4 Lu 2.90
Lu (0.2500, 0.2500, 0.7500) x4  4 Pr 2.90, 4 Ir 2.90
Ir (0.0000, 0.0000, 0.5000) x4  4 Lu 2.90



Record 6
Density functional theory data (PBE) for a relaxed structure of Fe2ReMo.

Values from the calculation:
**Calculated total energy**: -9.847 eV/atom
**Formation energy from the elements**: 0.125 eV/atom

Cell: 6.0171 6.0171 6.0171 Å, 90.00 90.00 90.00°
With the nearest neighbours (Å) after each atom.
Space group F-43m (No. 216)
Asymmetric unit:
Fe (0.0000, 0.0000, 0.0000) x4  4 Mo 2.61, 4 Fe 2.61
Fe (0.2500, 0.2500, 0.2500) x4  4 Fe 2.61, 4 Re 2.61
Re (0.0000, 0.0000, 0.5000) x4  4 Mo 2.61, 4 Fe 2.61
Mo (0.2500, 0.2500, 0.7500) x4  4 Fe 2.61, 4 Re 2.61



Record 7
Density functional theory data (PBE) for a relaxed structure of NaTlCd2.

Values from the calculation:
**Calculated total energy**: -1.437 eV/atom

Cell: 7.2896 7.2896 7.2896 Å, 90.00 90.00 90.00°
With the nearest neighbours (Å) after each atom.
Space group F-43m (No. 216)
Asymmetric unit:
Na (0.0000, 0.0000, 0.0000) x4  4 Tl 3.16, 4 Cd 3.16
Tl (0.2500, 0.2500, 0.7500) x4  4 Cd 3.16, 4 Na 3.16
Cd (0.0000, 0.0000, 0.5000) x4  4 Cd 3.16, 4 Tl 3.16
Cd (0.2500, 0.2500, 0.2500) x4  4 Na 3.16, 4 Cd 3.16



Record 8
Density functional theory data (PBE) for a relaxed structure of LiNiAuSe3.

Values from the calculation:
**Calculated total energy**: -3.844 eV/atom

Cell: 3.4321 13.5373 10.0076 Å, 90.00 90.00 90.00°
With the nearest neighbours (Å) after each atom.
Space group Cmcm (No. 63)
Asymmetric unit:
Li (0.0000, 0.1976, 0.2500) x4  4 Se 2.64-2.77, 2 Au 2.70
Ni (0.0000, 0.5000, 0.0000) x4  6 Se 2.39-2.59
Au (0.0000, 0.1484, 0.7500) x4  2 Se 2.45, 2 Li 2.70
Se (0.0000, 0.1230, 0.5072) x8  2 Ni 2.39, 1 Au 2.45
Se (0.0000, 0.4509, 0.7500) x4  2 Ni 2.59, 2 Li 2.64



Record 9
Density functional theory data (PBE) for a relaxed structure of Tl2Ni3S4.

Values from the calculation:
**Calculated total energy**: -4.602 eV/atom

Cell: 5.7779 10.0996 25.8612 Å, 90.00 90.00 90.00°
With the nearest neighbours (Å) after each atom.
Space group Fddd (No. 70, origin choice 2)
Asymmetric unit:
Tl (0.1250, 0.1250, 0.0486) x16  8 S 3.37-3.47, 6 Ni 3.50-3.52
Ni (0.1250, 0.1250, 0.3754) x16  4 S 2.21
Ni (0.1250, 0.1250, 0.6250) x8  4 S 2.21
S (0.1225, 0.2913, 0.5692) x32  3 Ni 2.21



Record 10
Density functional theory data (PBE) for a relaxed structure of Rb2BaW6.

Values from the calculation:
**Calculated total energy**: -7.920 eV/atom

Cell: 10.3310 4.4430 10.9241 Å, 90.00 98.66 90.00°
With the nearest neighbours (Å) after each atom.
Space group C2/m (No. 12)
Asymmetric unit:
Rb (0.2502, 0.0000, 0.2036) x4  3 W 3.09-3.33
Ba (0.0000, 0.5000, 0.0000) x2  6 Rb 3.65-3.85, 4 W 3.98
W (0.0158, 0.0000, 0.7003) x4  4 W 2.54-2.78
W (0.0626, 0.5000, 0.4067) x4  5 W 2.57-2.66
W (0.1511, 0.0000, 0.5243) x4  4 W 2.54-2.78



Record 11
Density functional theory data (PBE) for a relaxed structure of DyReB4.

Values from the calculation:
**Calculated total energy**: -7.554 eV/atom
**Distance to the lowest polymorph of the same formula**: 324.8 meV/atom

Cell: 3.1530 5.3749 7.0483 Å, 90.00 90.00 90.00°
With the nearest neighbours (Å) after each atom.
Space group Immm (No. 71)
Asymmetric unit:
Dy (0.0000, 0.0000, 0.0000) x2  12 B 2.52-2.53
Re (0.0000, 0.0000, 0.5000) x2  12 B 2.52-2.53
B (0.0000, 0.3364, 0.2493) x8  3 B 1.76-1.83



Record 12
Density functional theory data (PBE) for a relaxed structure of Gd3Sb5Pd6.

Values from the calculation:
**Calculated total energy**: -5.548 eV/atom

Cell: 4.4241 13.3524 10.0314 Å, 90.00 90.00 90.00°
With the nearest neighbours (Å) after each atom.
Space group Pmmn (No. 59, origin choice 2)
Asymmetric unit:
Gd (0.2500, 0.0707, 0.2443) x4  7 Pd 3.22-3.37, 6 Sb 3.25-3.31
Gd (0.2500, 0.7500, 0.2436) x2  6 Sb 3.26-3.30, 8 Pd 3.33-3.61
Sb (0.2500, 0.0891, 0.8621) x4  5 Pd 2.60-2.72
Sb (0.2500, 0.6236, 0.5258) x4  5 Pd 2.67-2.79
Sb (0.2500, 0.7500, 0.8155) x2  4 Pd 2.72-2.73
Pd (0.2500, 0.0693, 0.6042) x4  4 Sb 2.60-2.69, 1 Pd 2.82
Pd (0.2500, 0.2500, 0.0243) x2  4 Sb 2.70-2.73
Pd (0.2500, 0.2500, 0.4586) x2  4 Sb 2.79, 2 Pd 2.82
Pd (0.2500, 0.5917, 0.9867) x4  4 Sb 2.68-2.72



Record 13
Density functional theory data (PBE) for a relaxed structure of P2Ir2Pt.

Values from the calculation:
**Calculated total energy**: -6.943 eV/atom

Cell: 4.0979 4.3282 16.8606 Å, 90.00 90.00 90.00°
With the nearest neighbours (Å) after each atom.
Space group Imma (No. 74)
Asymmetric unit:
P (0.0000, 0.2500, 0.0065) x4  3 P 2.18-2.30, 2 Pt 2.37
P (0.0000, 0.2500, 0.8700) x4  4 Ir 2.28-2.40, 1 P 2.30
Ir (0.0000, 0.2500, 0.1912) x4  2 P 2.40
Ir (0.0000, 0.2500, 0.6892) x4  2 P 2.28
Pt (0.0000, 0.2500, 0.4227) x4  2 P 2.37



Record 14
Density functional theory data (PBE) for a relaxed structure of TaNbCuAs.

Values from the calculation:
**Calculated total energy**: -7.218 eV/atom
**Distance to the lowest polymorph of the same formula**: 0.0 meV/atom

Cell: 6.3968 6.3968 6.3968 Å, 90.00 90.00 90.00°
With the nearest neighbours (Å) after each atom.
Space group F-43m (No. 216)
Asymmetric unit:
Ta (0.0000, 0.0000, 0.0000) x4  4 Nb 2.77, 4 Cu 2.77
Nb (0.2500, 0.2500, 0.2500) x4  4 Ta 2.77, 4 As 2.77
Cu (0.2500, 0.2500, 0.7500) x4  4 Ta 2.77, 4 As 2.77
As (0.0000, 0.0000, 0.5000) x4  4 Cu 2.77, 4 Nb 2.77



Record 15
Density functional theory data (PBE) for a relaxed structure of HgP.

Values from the calculation:
**Calculated total energy**: -2.373 eV/atom
**Distance to the lowest polymorph of the same formula**: 20.7 meV/atom

Cell: 5.4911 5.4911 5.4911 Å, 90.00 90.00 90.00°
With the nearest neighbours (Å) after each atom.
Space group Fm-3m (No. 225)
Asymmetric unit:
Hg (0.0000, 0.0000, 0.0000) x4  6 P 2.75
P (0.0000, 0.0000, 0.5000) x4  6 Hg 2.75



Record 16
Density functional theory data (PBE) for a relaxed structure of Ni28W.

Values from the calculation:
**Calculated total energy**: -5.746 eV/atom
**Formation energy from the elements**: 0.076 eV/atom

Cell: 8.5994 8.5994 8.5994 Å, 90.00 90.00 90.00°
With the nearest neighbours (Å) after each atom.
Space group I-43m (No. 217)
Asymmetric unit:
Ni (0.0482, 0.3616, 0.6384) x24  8 Ni 2.33-2.52
Ni (0.0938, 0.0938, 0.7157) x24  8 Ni 2.28-2.49
Ni (0.1738, 0.1738, 0.1738) x8  9 Ni 2.43-2.58, 1 W 2.59
W (0.0000, 0.0000, 0.0000) x2  16 Ni 2.59-2.70



Record 17
Density functional theory data (PBE) for a relaxed structure of ZrS2.

Values from the calculation:
**Calculated total energy**: -7.052 eV/atom

Cell: 19.0270 3.6964 5.9054 Å, 90.00 91.28 90.00°
With the nearest neighbours (Å) after each atom.
Space group C2/m (No. 12)
Asymmetric unit:
Zr (0.0000, 0.0000, 0.0000) x2  6 S 2.55-2.62
Zr (0.1663, 0.5000, 0.5159) x4  6 S 2.55-2.64
S (0.0538, 0.5000, 0.2447) x4  3 Zr 2.55-2.64
S (0.1137, 0.0000, 0.7570) x4  3 Zr 2.55-2.62
S (0.2170, 0.0000, 0.2638) x4  3 Zr 2.55-2.57



Record 18
Density functional theory data (PBE) for a relaxed structure of LaMgSi2Ir.

Values from the calculation:
**Calculated total energy**: -5.967 eV/atom

Cell: 4.1601 4.1601 10.8510 Å, 90.00 90.00 90.00°
With the nearest neighbours (Å) after each atom.
Space group I-4m2 (No. 119)
Asymmetric unit:
La (0.0000, 0.0000, 0.0000) x2  8 Si 3.19, 4 Mg 3.42, 4 Ir 3.42
Mg (0.0000, 0.5000, 0.7500) x2  4 Si 2.56
Si (0.0000, 0.0000, 0.3872) x4  1 Si 2.45, 2 Mg 2.56, 2 Ir 2.56
Ir (0.0000, 0.5000, 0.2500) x2  4 Si 2.56



Record 19
Density functional theory data (PBE) for a relaxed structure of LaGa2PtAu.

Values from the calculation:
**Calculated total energy**: -4.928 eV/atom
**Distance to the lowest polymorph of the same formula**: 0.0 meV/atom

Cell: 4.4358 4.4358 10.4430 Å, 90.00 90.00 90.00°
With the nearest neighbours (Å) after each atom.
Space group P4/nmm (No. 129, origin choice 2)
Asymmetric unit:
La (0.2500, 0.2500, 0.2404) x2  8 Ga 3.35-3.38, 4 Pt 3.36, 4 Au 3.50
Ga (0.2500, 0.2500, 0.6388) x2  1 Pt 2.47, 4 Au 2.65
Ga (0.2500, 0.7500, 0.0000) x2  4 Pt 2.57
Pt (0.2500, 0.2500, 0.8752) x2  5 Ga 2.47-2.57
Au (0.2500, 0.7500, 0.5000) x2  4 Ga 2.65



Record 20
Density functional theory data (PBE) for a relaxed structure of CdB4Ir.

Values from the calculation:
**Calculated total energy**: -5.562 eV/atom
**Distance to the lowest polymorph of the same formula**: 35.3 meV/atom

Cell: 3.0125 5.3104 7.5302 Å, 90.00 90.00 90.00°
With the nearest neighbours (Å) after each atom.
Space group Immm (No. 71)
Asymmetric unit:
Cd (0.0000, 0.0000, 0.0000) x2  12 B 2.56-2.60
B (0.0000, 0.3383, 0.2504) x8  3 B 1.72-1.77
Ir (0.0000, 0.0000, 0.5000) x2  12 B 2.56-2.60



Record 21
Density functional theory data (PBE) for a relaxed structure of SrBeNbIr.

Values from the calculation:
**Calculated total energy**: -5.610 eV/atom
**Distance to the lowest polymorph of the same formula**: 154.2 meV/atom

Cell: 6.7011 6.7011 6.7011 Å, 90.00 90.00 90.00°
With the nearest neighbours (Å) after each atom.
Space group F-43m (No. 216)
Asymmetric unit:
Sr (0.0000, 0.0000, 0.0000) x4  4 Be 2.90, 4 Ir 2.90
Be (0.2500, 0.2500, 0.2500) x4  4 Nb 2.90, 4 Sr 2.90
Nb (0.0000, 0.0000, 0.5000) x4  4 Ir 2.90, 4 Be 2.90
Ir (0.2500, 0.2500, 0.7500) x4  4 Nb 2.90, 4 Sr 2.90



Record 22
Density functional theory data (PBE) for a relaxed structure of KZnPO.

Values from the calculation:
**Calculated total energy**: -3.260 eV/atom
**Distance to the lowest polymorph of the same formula**: 604.4 meV/atom

Cell: 3.6828 3.6828 11.5731 Å, 90.00 90.00 90.00°
With the nearest neighbours (Å) after each atom.
Space group P4/nmm (No. 129, origin choice 2)
Asymmetric unit:
K (0.2500, 0.2500, 0.1595) x2  4 O 2.61
Zn (0.2500, 0.7500, 0.5000) x2  4 P 2.43, 4 Zn 2.60
P (0.2500, 0.2500, 0.6376) x2  4 Zn 2.43
O (0.2500, 0.7500, 0.0000) x2  4 O 2.60, 4 K 2.61



Record 23
Density functional theory data (PBE) for a relaxed structure of Hf2NiGe.

Values from the calculation:
**Calculated total energy**: -7.362 eV/atom

Cell: 6.5365 6.5365 6.5365 Å, 90.00 90.00 90.00°
With the nearest neighbours (Å) after each atom.
Space group F-43m (No. 216)
Asymmetric unit:
Hf (0.0000, 0.0000, 0.0000) x4  4 Hf 2.83, 4 Ni 2.83
Hf (0.2500, 0.2500, 0.2500) x4  4 Ge 2.83, 4 Hf 2.83
Ni (0.2500, 0.2500, 0.7500) x4  4 Ge 2.83, 4 Hf 2.83
Ge (0.0000, 0.0000, 0.5000) x4  4 Hf 2.83, 4 Ni 2.83